No. 1
VASP calculation (PBE-GGA) on a relaxed structure of Ac4ZnSn3.

Computed properties:
The value obtained for the formation enthalpy at 0 K is -4.77 eV per formula unit. As for the total magnetic moment: 0.52 μB per formula unit. The density of states at the Fermi level comes out at 8.0 states/eV per cell. Its space group is Pmm2.

Cell: 4.917 4.578 12.317 Å, 90.00 90.00 90.00°
Site moments in Bohr magnetons follow the coordinates.
Positions (direct):
Ac 0.500 0.500 0.353  0.04
Ac 0.000 0.500 0.866  0.03
Ac 0.000 0.000 0.137  0.05
Ac 0.500 0.000 0.641  0.02
Zn 0.500 0.500 0.073  0.00
Sn 0.000 0.500 0.584  0.00
Sn 0.000 0.000 0.418  0.00
Sn 0.500 0.000 0.928  0.00


No. 2
VASP calculation (PBE-GGA) on a relaxed structure of Sr2TaCl.

Computed properties:
As for the total magnetic moment: 3.01 μB per formula unit. The value obtained for the energy relative to the lowest polymorph listed for this composition is 0.283 eV/atom. The density of states at the Fermi level comes out at 2.5 states/eV per cell. The calculation puts the formation energy from raw total energies at 0.109 eV per atom. Its space group is P4mm.

Cell: 6.046 3.553 6.047 Å, 90.00 90.00 90.00°
Site moments in Bohr magnetons follow the coordinates.
Positions (direct):
Cl 0.500 0.997 0.875  0.02
Sr 0.000 0.001 0.875  0.06
Sr 0.500 0.001 0.375  0.06
Ta 0.000 0.501 0.375  1.53


No. 3
VASP calculation (PBE-GGA) on a relaxed structure of TcTeCl2.

Computed properties:
As for the total magnetic moment: 1.31 μB per formula unit. The value obtained for the energy relative to the lowest polymorph listed for this composition is 0.332 eV/atom. The density of states at the Fermi level comes out at 3.9 states/eV per cell. The calculation puts the formation energy from raw total energies at 0.061 eV per atom. Its space group is Cmmm.

Cell: 3.277 3.277 11.951 Å, 90.00 90.00 124.45°
Site moments in Bohr magnetons follow the coordinates.
Positions (direct):
Te 0.500 0.500 0.750  0.00
Tc 0.500 0.500 0.250  1.08
Cl 0.000 0.000 0.095  0.04
Cl 0.000 0.000 0.405  0.04


No. 4
VASP calculation (PBE-GGA) on a relaxed structure of RbPu2Tl3Se6.

Computed properties:
As for the total magnetic moment: 8.12 μB per formula unit. The density of states at the Fermi level comes out at 20.6 states/eV per cell. The calculation puts the formation energy from raw total energies at -0.942 eV per atom. Its space group is C2/m.

Cell: 4.277 9.199 10.232 Å, 102.17 102.06 90.00°
Site moments in Bohr magnetons follow the coordinates.
Positions (direct):
Rb 0.500 0.000 0.000  -0.01
Pu 0.825 0.658 0.649  4.79
Pu 0.175 0.342 0.351  4.79
Tl 0.500 0.500 0.000  -0.07
Tl 0.836 0.166 0.672  -0.02
Tl 0.164 0.834 0.328  -0.02
Se 0.320 0.864 0.640  -0.13
Se 0.678 0.558 0.357  -0.16
Se 0.680 0.136 0.360  -0.13
Se 0.036 0.288 0.073  -0.22
Se 0.964 0.712 0.927  -0.22
Se 0.322 0.442 0.643  -0.16


No. 5
VASP calculation (PBE-GGA) on a relaxed structure of LiCr2Tc.

Computed properties:
The value obtained for the formation enthalpy at 0 K is 1.13 eV per formula unit. As for the total magnetic moment: 0.00 μB per formula unit. The density of states at the Fermi level comes out at 2.8 states/eV per cell. Its space group is Pm.

Cell: 4.105 2.481 4.957 Å, 80.54 90.00 90.00°
Positions (direct):
Cr 0.000 0.003 0.007
Cr 0.500 0.251 0.247
Li 0.000 0.478 0.498
Tc 0.500 0.768 0.748


No. 6
VASP calculation (PBE-GGA) on a relaxed structure of Y3ZrRe.

Computed properties:
The value obtained for the formation enthalpy at 0 K is 2.91 eV per formula unit. As for the total magnetic moment: 1.93 μB per formula unit. The value obtained for the energy relative to the lowest polymorph listed for this composition is 0.000 eV/atom. The density of states at the Fermi level comes out at 6.5 states/eV per cell. Its space group is Pm-3m.

Cell: 5.370 5.370 5.370 Å, 90.00 90.00 90.00°
Site moments in Bohr magnetons follow the coordinates.
Positions (direct):
Y 0.000 0.500 0.000  0.05
Y 0.000 0.000 0.500  0.05
Y 0.500 0.000 0.000  0.08
Re 0.000 0.000 0.000  -0.06
Zr 0.500 0.500 0.500  0.95


Number 1: VASP energy -34.490 eV/f.u., density 8.0 g cm⁻³. Number 2: VASP energy -16.627 eV/f.u., density 5.0 g cm⁻³. Number 3: VASP energy -16.956 eV/f.u., density 4.7 g cm⁻³. Number 4: VASP energy -68.938 eV/f.u., density 7.2 g cm⁻³. Number 5: VASP energy -30.394 eV/f.u., density 7.0 g cm⁻³. Number 6: VASP energy -37.477 eV/f.u., density 5.8 g cm⁻³.